A) A relaxed structure of YPd2Pt, computed with PBE.

Output
SG	Fm-3m, No. 225

abc: 4.6734 4.6734 4.6734
angles: 60.00 60.00 60.00
Last column: nearest neighbours and their distance in Å.
Sites, in units of the cell vectors:
Y (0.0000, 0.0000, 0.0000)  8 Pd 2.86
Pd (0.2500, 0.2500, 0.2500)  4 Pt 2.86, 4 Y 2.86
Pd (0.7500, 0.7500, 0.7500)  4 Pt 2.86, 4 Y 2.86
Pt (0.5000, 0.5000, 0.5000)  8 Pd 2.86



B) A relaxed structure of YPd2Pt, computed with PBE.

Output
SG	P4/mmm, No. 123

abc: 4.1092 4.1426 4.1426
angles: 90.00 90.00 90.00
Last column: nearest neighbours and their distance in Å.
Sites, in units of the cell vectors:
Y (0.5000, 0.5000, 0.5000)  8 Pd 2.92, 4 Pt 2.93
Pd (0.0000, 0.0000, 0.5000)  4 Y 2.92, 4 Pt 2.92, 4 Pd 2.93
Pd (0.0000, 0.5000, 0.0000)  4 Y 2.92, 4 Pt 2.92, 4 Pd 2.93
Pt (0.5000, 0.0000, 0.0000)  8 Pd 2.92, 4 Y 2.93



C) A relaxed structure of YPd2Pt, computed with PBE.

Output
SG	I-42d, No. 122

abc: 4.0422 4.0422 9.9912
angles: 78.33 78.33 90.00
Last column: nearest neighbours and their distance in Å.
Sites, in units of the cell vectors:
Y (0.5000, 0.5000, 0.0000)  4 Pd 2.82, 4 Pt 2.86
Y (0.2500, 0.7500, 0.5000)  4 Pd 2.82, 4 Pt 2.86
Pd (0.6441, 0.1250, 0.2500)  4 Pd 2.75-2.97, 2 Pt 2.76, 2 Y 2.82
Pd (0.1059, 0.6250, 0.2500)  4 Pd 2.75-2.97, 2 Pt 2.76, 2 Y 2.82
Pd (0.3750, 0.3559, 0.7500)  4 Pd 2.75-2.97, 2 Pt 2.76, 2 Y 2.82
Pd (0.8750, 0.8941, 0.7500)  4 Pd 2.75-2.97, 2 Pt 2.76, 2 Y 2.82
Pt (0.0000, 0.0000, 0.0000)  4 Pd 2.76, 4 Y 2.86
Pt (0.7500, 0.2500, 0.5000)  4 Pd 2.76, 4 Y 2.86



D) A relaxed structure of YPd2Pt, computed with PBE.

Output
SG	P-1, No. 2

abc: 5.0877 10.1651 4.1487
angles: 114.05 114.01 109.48
Last column: nearest neighbours and their distance in Å.
Sites, in units of the cell vectors:
Y (0.4971, 0.7494, 0.4973)  4 Pt 2.93-2.94, 8 Pd 2.93-2.95
Y (0.5029, 0.2506, 0.5027)  4 Pt 2.93-2.94, 8 Pd 2.93-2.95
Pd (0.0000, 0.5000, 0.5000)  6 Pt 2.93-2.95, 4 Y 2.93, 2 Pd 2.94
Pd (0.0000, 0.0000, 0.5000)  6 Pd 2.92-2.96, 2 Pt 2.93, 4 Y 2.94-2.95
Pd (0.2453, 0.8742, 0.9959)  6 Pd 2.92-2.96, 2 Pt 2.93-2.94, 4 Y 2.93-2.94
Pd (0.7547, 0.1258, 0.0041)  6 Pd 2.92-2.96, 2 Pt 2.93-2.94, 4 Y 2.93-2.94
Pt (0.2533, 0.3753, 0.0031)  2 Pt 2.92-2.93, 6 Pd 2.93-2.95, 4 Y 2.93-2.94
Pt (0.7467, 0.6247, 0.9969)  2 Pt 2.92-2.93, 6 Pd 2.93-2.95, 4 Y 2.93-2.94



Going by the energies, B) is most stable and the next is 96 meV per atom up.



A) A relaxed structure of Y2PdPt4, computed with PBE.

Output
SG	I4/mmm, No. 139

abc: 3.9102 3.9102 9.6138
angles: 101.73 101.73 90.00
Last column: nearest neighbours and their distance in Å.
Sites, in units of the cell vectors:
Y (0.6037, 0.6037, 0.2074)  4 Pt 2.86
Y (0.3963, 0.3963, 0.7926)  4 Pt 2.86
Pd (0.0000, 0.0000, 0.0000)  2 Pt 2.64
Pt (0.1434, 0.1434, 0.2868)  1 Pd 2.64, 4 Pt 2.77, 4 Y 2.86
Pt (0.8566, 0.8566, 0.7132)  1 Pd 2.64, 4 Pt 2.77, 4 Y 2.86
Pt (0.7500, 0.2500, 0.5000)  8 Pt 2.76-2.77
Pt (0.2500, 0.7500, 0.5000)  8 Pt 2.76-2.77



B) A relaxed structure of Y2PdPt4, computed with PBE.

Output
SG	Fmmm, No. 69

abc: 9.0607 5.4936 6.2178
angles: 116.22 90.00 90.00
Last column: nearest neighbours and their distance in Å.
Sites, in units of the cell vectors:
Y (0.0000, 0.6443, 0.2886)  8 Pt 2.90-3.10, 2 Pd 3.18, 1 Y 3.22
Y (0.0000, 0.3557, 0.7114)  8 Pt 2.90-3.10, 2 Pd 3.18, 1 Y 3.22
Y (0.5000, 0.8557, 0.7114)  8 Pt 2.90-3.10, 2 Pd 3.18, 1 Y 3.22
Y (0.5000, 0.1443, 0.2886)  8 Pt 2.90-3.10, 2 Pd 3.18, 1 Y 3.22
Pd (0.0000, 0.0000, 0.0000)  4 Pt 2.65
Pd (0.5000, 0.5000, 0.0000)  4 Pt 2.65
Pt (0.7500, 0.7501, 0.0000)  2 Pd 2.65, 4 Pt 2.75-2.79
Pt (0.7500, 0.5002, 0.5000)  4 Pt 2.75-2.79, 4 Y 2.90
Pt (0.7500, 0.0002, 0.5000)  4 Pt 2.75-2.79, 4 Y 2.90
Pt (0.7500, 0.2501, 0.0000)  2 Pd 2.65, 4 Pt 2.75-2.79
Pt (0.2500, 0.7499, 0.0000)  2 Pd 2.65, 4 Pt 2.75-2.79
Pt (0.2500, 0.9998, 0.5000)  4 Pt 2.75-2.79, 4 Y 2.90
Pt (0.2500, 0.4998, 0.5000)  4 Pt 2.75-2.79, 4 Y 2.90
Pt (0.2500, 0.2499, 0.0000)  2 Pd 2.65, 4 Pt 2.75-2.79



Going by the energies, A) is most stable and the next is 78 meV per atom up.



A) A relaxed structure of Y2PdPt9, computed with PBE.

Output
SG	P4/mmm, No. 123

abc: 4.0683 4.0683 12.2718
angles: 90.00 90.00 90.00
Last column: nearest neighbours and their distance in Å.
Sites, in units of the cell vectors:
Y (0.0000, 0.0000, 0.3296)  12 Pt 2.88-2.92
Y (0.0000, 0.0000, 0.6704)  12 Pt 2.88-2.92
Pd (0.0000, 0.0000, 0.0000)  12 Pt 2.82-2.88
Pt (0.5000, 0.5000, 0.0000)  8 Pt 2.82, 4 Pd 2.88
Pt (0.5000, 0.5000, 0.3296)  4 Y 2.88, 8 Pt 2.92
Pt (0.5000, 0.5000, 0.6704)  4 Y 2.88, 8 Pt 2.92
Pt (0.5000, 0.0000, 0.1589)  2 Pd 2.82, 8 Pt 2.82-2.92, 2 Y 2.92
Pt (0.5000, 0.0000, 0.5000)  8 Pt 2.88-2.92, 4 Y 2.92
Pt (0.5000, 0.0000, 0.8411)  2 Pd 2.82, 8 Pt 2.82-2.92, 2 Y 2.92
Pt (0.0000, 0.5000, 0.1589)  2 Pd 2.82, 8 Pt 2.82-2.92, 2 Y 2.92
Pt (0.0000, 0.5000, 0.5000)  8 Pt 2.88-2.92, 4 Y 2.92
Pt (0.0000, 0.5000, 0.8411)  2 Pd 2.82, 8 Pt 2.82-2.92, 2 Y 2.92



B) A relaxed structure of Y2PdPt9, computed with PBE.

Output
SG	R-3m, No. 166

abc: 5.3735 5.3735 9.3237
angles: 73.25 73.25 60.00
Last column: nearest neighbours and their distance in Å.
Sites, in units of the cell vectors:
Y (0.8661, 0.8661, 0.4016)  9 Pt 2.98-3.22
Y (0.1339, 0.1339, 0.5984)  9 Pt 2.98-3.22
Pd (0.0000, 0.0000, 0.0000)  6 Pt 3.10
Pt (0.6674, 0.6674, 0.9978)  6 Pt 2.70-2.75
Pt (0.3326, 0.3326, 0.0022)  6 Pt 2.70-2.75
Pt (0.5000, 0.5000, 0.5000)  6 Pt 2.66
Pt (0.4128, 0.4128, 0.2552)  7 Pt 2.65-2.75
Pt (0.9192, 0.4128, 0.2552)  7 Pt 2.65-2.75
Pt (0.4128, 0.9192, 0.2552)  7 Pt 2.65-2.75
Pt (0.5872, 0.5872, 0.7448)  7 Pt 2.65-2.75
Pt (0.5872, 0.0808, 0.7448)  7 Pt 2.65-2.75
Pt (0.0808, 0.5872, 0.7448)  7 Pt 2.65-2.75



Going by the energies, A) is most stable and the next is 69 meV per atom up.



A) A relaxed structure of YPd2Pt2, computed with PBE.

Output
SG	I4/mmm, No. 139

abc: 3.8582 3.8582 6.9525
angles: 73.89 73.89 90.00
Last column: nearest neighbours and their distance in Å.
Sites, in units of the cell vectors:
Y (0.0000, 0.0000, 0.0000)  8 Pt 3.01
Pd (0.7500, 0.2500, 0.5000)  4 Pt 2.73, 4 Pd 2.73
Pd (0.2500, 0.7500, 0.5000)  4 Pt 2.73, 4 Pd 2.73
Pt (0.4005, 0.4005, 0.1989)  1 Pt 2.54, 4 Pd 2.73
Pt (0.5995, 0.5995, 0.8011)  1 Pt 2.54, 4 Pd 2.73



B) A relaxed structure of YPd2Pt2, computed with PBE.

Output
SG	I4/mmm, No. 139

abc: 4.9250 4.9250 5.4359
angles: 116.94 116.94 90.00
Last column: nearest neighbours and their distance in Å.
Sites, in units of the cell vectors:
Y (0.0000, 0.0000, 0.0000)  2 Pd 2.92, 8 Pt 3.23
Pd (0.6500, 0.6500, 0.2999)  1 Pd 2.50, 4 Pt 2.60
Pd (0.3500, 0.3500, 0.7001)  1 Pd 2.50, 4 Pt 2.60
Pt (0.2500, 0.7500, 0.5000)  4 Pd 2.60
Pt (0.7500, 0.2500, 0.5000)  4 Pd 2.60



Going by the energies, A) is most stable and the next is 309 meV per atom up.